<w>
A plane-wave DFT calculation with PBE-GGA was carried out for a geometry-optimized TlAgSeO structure. Values from VASP.

Summary:
ρ   8.73 g cm⁻³

The structure in Quantum ESPRESSO input format:
```
&SYSTEM
  ibrav = 0, nat = 8, ntyp = 4
/
ATOMIC_SPECIES
O 16.00 O.upf
Tl 204.38 Tl.upf
Ag 107.87 Ag.upf
Se 78.96 Se.upf
CELL_PARAMETERS angstrom
4.0862 0.0000 0.0000
0.0000 4.0862 0.0000
0.0000 0.0000 9.2781
ATOMIC_POSITIONS crystal
O 0.2500 0.7500 0.0000
O 0.7500 0.2500 0.0000
Tl 0.7500 0.7500 0.8833
Tl 0.2500 0.2500 0.1167
Ag 0.2500 0.7500 0.5000
Ag 0.7500 0.2500 0.5000
Se 0.7500 0.7500 0.3035
Se 0.2500 0.2500 0.6965
```


<x>
A plane-wave DFT calculation with PBE-GGA was carried out for a geometry-optimized TlAgSeO structure. Values from VASP.

Summary:
ρ   7.31 g cm⁻³

The structure in Quantum ESPRESSO input format:
```
&SYSTEM
  ibrav = 0, nat = 8, ntyp = 4
/
ATOMIC_SPECIES
Tl 204.38 Tl.upf
Se 78.96 Se.upf
O 16.00 O.upf
Ag 107.87 Ag.upf
CELL_PARAMETERS angstrom
4.1332 0.0000 0.0000
0.0000 7.0629 0.0000
0.0000 0.0000 6.3349
ATOMIC_POSITIONS crystal
Tl 0.5000 0.1400 0.5314
Tl 0.5000 0.8600 0.0314
Se 0.0000 0.6601 0.1818
Se 0.0000 0.3399 0.6818
O 0.5000 0.1415 0.1840
O 0.5000 0.8585 0.6840
Ag 0.0000 0.7091 0.5938
Ag 0.0000 0.2909 0.0938
```


Decreasing stability: <x>, <w>


<w>
A plane-wave DFT calculation with PBE-GGA was carried out for a geometry-optimized Si2Ag2O5 structure. Values from VASP.

Summary:
ρ   6.19 g cm⁻³

The structure in Quantum ESPRESSO input format:
```
&SYSTEM
  ibrav = 0, nat = 9, ntyp = 3
/
ATOMIC_SPECIES
Ag 107.87 Ag.upf
O 16.00 O.upf
Si 28.09 Si.upf
CELL_PARAMETERS angstrom
7.9718 0.0000 0.0000
0.0000 3.4423 0.0000
0.0000 0.0000 3.4423
ATOMIC_POSITIONS crystal
Ag 0.5000 0.0000 0.0000
Ag 0.0000 0.0000 0.0000
O 0.7630 0.5000 0.0000
O 0.5000 0.5000 0.5000
O 0.7630 0.0000 0.5000
O 0.2370 0.0000 0.5000
O 0.2370 0.5000 0.0000
Si 0.7174 0.5000 0.5000
Si 0.2826 0.5000 0.5000
```


<x>
A plane-wave DFT calculation with PBE-GGA was carried out for a geometry-optimized Si2Ag2O5 structure. Values from VASP.

Summary:
ρ   5.72 g cm⁻³

The structure in Quantum ESPRESSO input format:
```
&SYSTEM
  ibrav = 0, nat = 9, ntyp = 3
/
ATOMIC_SPECIES
Ag 107.87 Ag.upf
Si 28.09 Si.upf
O 16.00 O.upf
CELL_PARAMETERS angstrom
-5.4308 -7.3699 4.0113
2.5732 -1.8971 -0.0018
0.7627 1.0317 2.9282
ATOMIC_POSITIONS crystal
Ag 0.2777 0.5000 0.5000
Ag 0.7223 0.5000 0.5000
Si 0.0000 0.0000 0.0000
Si 0.5000 0.0000 0.0000
O 0.1087 0.0000 0.5000
O 0.8913 0.0000 0.5000
O 0.5000 0.5000 0.5000
O 0.8913 0.5000 0.0000
O 0.1087 0.5000 0.0000
```


Decreasing stability: <w>, <x>


<w>
A plane-wave DFT calculation with PBE-GGA was carried out for a geometry-optimized AgSnTeO structure. Values from VASP.

Summary:
ρ   6.27 g cm⁻³

The structure in Quantum ESPRESSO input format:
```
&SYSTEM
  ibrav = 0, nat = 8, ntyp = 4
/
ATOMIC_SPECIES
Te 127.60 Te.upf
Sn 118.71 Sn.upf
Ag 107.87 Ag.upf
O 16.00 O.upf
CELL_PARAMETERS angstrom
-4.0447 -0.4076 -2.1310
0.8393 -4.4511 -0.7416
-4.0556 -2.1146 8.1020
ATOMIC_POSITIONS crystal
Te 0.2500 0.7500 0.5000
Te 0.7500 0.2500 0.5000
Sn 0.7500 0.7500 0.8632
Sn 0.2500 0.2500 0.1368
Ag 0.7500 0.7500 0.3049
Ag 0.2500 0.2500 0.6951
O 0.7500 0.7500 0.0729
O 0.2500 0.2500 0.9271
```


<x>
A plane-wave DFT calculation with PBE-GGA was carried out for a geometry-optimized AgSnTeO structure. Values from VASP.

Summary:
ρ   6.59 g cm⁻³

The structure in Quantum ESPRESSO input format:
```
&SYSTEM
  ibrav = 0, nat = 32, ntyp = 4
/
ATOMIC_SPECIES
Te 127.60 Te.upf
Ag 107.87 Ag.upf
O 16.00 O.upf
Sn 118.71 Sn.upf
CELL_PARAMETERS angstrom
6.7863 0.0000 0.0000
0.0000 8.2150 0.0000
0.0000 0.0000 13.3947
ATOMIC_POSITIONS crystal
Te 0.7503 0.5000 0.1139
Te 0.7497 0.5000 0.6139
Te 0.7497 0.0000 0.1139
Te 0.2503 0.0000 0.8861
Te 0.2497 0.5000 0.8861
Te 0.2503 0.5000 0.3861
Te 0.2497 0.0000 0.3861
Te 0.7503 0.0000 0.6139
Ag 0.7518 0.5007 0.8173
Ag 0.2482 0.4993 0.1827
Ag 0.2482 0.0007 0.6827
Ag 0.2518 0.9993 0.1827
Ag 0.2518 0.5007 0.6827
Ag 0.7482 0.0007 0.8173
Ag 0.7482 0.4993 0.3173
Ag 0.7518 0.9993 0.3173
O 0.2495 0.7506 0.6073
O 0.2505 0.2506 0.6073
O 0.2505 0.2494 0.1073
O 0.2495 0.7494 0.1073
O 0.7505 0.2494 0.3927
O 0.7505 0.2506 0.8927
O 0.7495 0.7494 0.3927
O 0.7495 0.7506 0.8927
Sn 0.4997 0.7503 0.5002
Sn 0.0003 0.2503 0.5002
Sn 0.9997 0.7497 0.4998
Sn 0.5003 0.2503 0.9998
Sn 0.0003 0.2497 0.0002
Sn 0.9997 0.7503 0.9998
Sn 0.5003 0.2497 0.4998
Sn 0.4997 0.7497 0.0002
```


<y>
A plane-wave DFT calculation with PBE-GGA was carried out for a geometry-optimized AgSnTeO structure. Values from VASP.

Summary:
ρ   6.77 g cm⁻³

The structure in Quantum ESPRESSO input format:
```
&SYSTEM
  ibrav = 0, nat = 8, ntyp = 4
/
ATOMIC_SPECIES
Te 127.60 Te.upf
Ag 107.87 Ag.upf
O 16.00 O.upf
Sn 118.71 Sn.upf
CELL_PARAMETERS angstrom
3.8243 0.0000 0.0000
-1.9121 3.3119 0.0000
0.0000 0.0000 14.3317
ATOMIC_POSITIONS crystal
Te 0.6667 0.3333 0.0991
Te 0.3333 0.6667 0.5991
Ag 0.0000 0.0000 0.4824
Ag 0.0000 0.0000 0.9824
O 0.0000 0.0000 0.3263
O 0.0000 0.0000 0.8263
Sn 0.3333 0.6666 0.2799
Sn 0.6667 0.3334 0.7799
```


Decreasing stability: <y>, <x>, <w>


<w>
A plane-wave DFT calculation with PBE-GGA was carried out for a geometry-optimized AgSnTeO structure. Values from VASP.

Summary:
ρ   5.42 g cm⁻³

The structure in Quantum ESPRESSO input format:
```
&SYSTEM
  ibrav = 0, nat = 16, ntyp = 4
/
ATOMIC_SPECIES
Ag 107.87 Ag.upf
Sn 118.71 Sn.upf
O 16.00 O.upf
Te 127.60 Te.upf
CELL_PARAMETERS angstrom
-2.3388 3.5554 3.6116
0.7419 -6.1923 6.5763
8.1057 3.2001 2.0988
ATOMIC_POSITIONS crystal
Ag 0.2688 0.2831 0.5493
Ag 0.2312 0.7169 0.0493
Ag 0.7688 0.2169 0.4507
Ag 0.7312 0.7831 0.9507
Sn 0.7679 0.7013 0.3847
Sn 0.2679 0.7987 0.6153
Sn 0.2321 0.2013 0.1153
Sn 0.7321 0.2987 0.8847
O 0.9171 0.7608 0.5805
O 0.5829 0.2392 0.0805
O 0.0829 0.2608 0.9195
O 0.4171 0.7392 0.4195
Te 0.5499 0.0780 0.6789
Te 0.4501 0.5780 0.8211
Te 0.0499 0.4220 0.3211
Te 0.9501 0.9220 0.1789
```


<x>
A plane-wave DFT calculation with PBE-GGA was carried out for a geometry-optimized AgSnTeO structure. Values from VASP.

Summary:
ρ   6.65 g cm⁻³

The structure in Quantum ESPRESSO input format:
```
&SYSTEM
  ibrav = 0, nat = 8, ntyp = 4
/
ATOMIC_SPECIES
Te 127.60 Te.upf
O 16.00 O.upf
Sn 118.71 Sn.upf
Ag 107.87 Ag.upf
CELL_PARAMETERS angstrom
-2.0653 -3.5014 0.6149
3.9583 0.2683 1.0784
-3.3994 4.0206 11.4775
ATOMIC_POSITIONS crystal
Te 0.3333 0.6667 0.6220
Te 0.6667 0.3333 0.1220
O 0.0000 0.0000 0.8217
O 0.0000 0.0000 0.3217
Sn 0.0000 0.0000 0.4804
Sn 0.0000 0.0000 0.9804
Ag 0.3333 0.6667 0.2637
Ag 0.6667 0.3333 0.7637
```


<y>
A plane-wave DFT calculation with PBE-GGA was carried out for a geometry-optimized AgSnTeO structure. Values from VASP.

Summary:
ρ   6.93 g cm⁻³

The structure in Quantum ESPRESSO input format:
```
&SYSTEM
  ibrav = 0, nat = 8, ntyp = 4
/
ATOMIC_SPECIES
Ag 107.87 Ag.upf
O 16.00 O.upf
Sn 118.71 Sn.upf
Te 127.60 Te.upf
CELL_PARAMETERS angstrom
-1.5442 2.6627 2.0954
-3.3330 -0.7795 -1.4656
-2.0928 -8.5289 9.2957
ATOMIC_POSITIONS crystal
Ag 0.2500 0.7500 0.0000
Ag 0.7500 0.2500 0.0000
O 0.2500 0.2500 0.4363
O 0.7500 0.7500 0.5637
Sn 0.2500 0.2500 0.5992
Sn 0.7500 0.7500 0.4008
Te 0.2500 0.2500 0.1735
Te 0.7500 0.7500 0.8265
```


Decreasing stability: <w>, <y>, <x>